This record from Alexandria via LeMat-Bulk describes crystalline RbReCl3 at its relaxed geometry. The functional is PBE-GGA.

Properties
Space group ... No. 221
Energy relative to the lowest polymorph listed for this composition ... 2.46 eV/f.u.
Magnetic moment ... 2.86 μB/f.u.
Total energy ... -21.517 eV for the cell shown

abc: 5.011 5.011 5.011
angles: 90.00 90.00 90.00
Positions (direct):
Rb (0.000, 0.000, 0.000)
Re (0.500, 0.500, 0.500)
Cl (0.000, 0.500, 0.500)
Cl (0.500, 0.000, 0.500)
Cl (0.500, 0.500, 0.000)